First-principles (PBE) data for a relaxed structure of CrCdSb2, as listed in Alexandria via LeMat-Bulk.

Unit cell a=3.347 b=3.347 c=8.429 alpha=90.00 beta=90.00 gamma=90.00
Fractional coordinates of all 4 atoms:
Cr 0.000 0.000 0.000
Cd 0.000 0.000 0.500
Sb 0.500 0.500 0.195
Sb 0.500 0.500 0.805

Total DFT energy (no corrections) in eV for the cell shown: -17.96
D(E_F) in states/eV/f.u.: 2.91
Space-group type: P4/mmm, No. 123
Total magnetic moment in Bohr magnetons per cell: 2.9
Uncorrected formation energy in meV/atom: 205

First-principles (PBE) data for a relaxed structure of CrCdSb2, as listed in Alexandria via LeMat-Bulk.

Unit cell a=3.149 b=3.149 c=9.730 alpha=90.00 beta=90.00 gamma=90.00
Fractional coordinates of all 4 atoms:
Cr 0.000 0.000 0.000
Cd 0.500 0.500 0.795
Sb 0.000 0.000 0.544
Sb 0.500 0.500 0.193

Total DFT energy (no corrections) in eV for the cell shown: -17.73
D(E_F) in states/eV/f.u.: 2.13
Space-group type: P4mm, No. 99
Total magnetic moment in Bohr magnetons per cell: 3.8
Uncorrected formation energy in meV/atom: 262

First-principles (PBE) data for a relaxed structure of Cr2CdSb, as listed in Alexandria via LeMat-Bulk.

Unit cell a=3.517 b=3.517 c=6.236 alpha=90.00 beta=90.00 gamma=90.00
Fractional coordinates of all 4 atoms:
Cr 0.000 0.000 0.241
Cr 0.000 0.000 0.759
Cd 0.500 0.500 0.500
Sb 0.500 0.500 0.000

Total DFT energy (no corrections) in eV for the cell shown: -22.59
D(E_F) in states/eV/f.u.: 2.89
Space-group type: P4/mmm, No. 123
Total magnetic moment in Bohr magnetons per cell: 7.3
Uncorrected formation energy in meV/atom: 424

Which of these has the highest total DFT energy (no corrections)? number 2

Which of these has the lowest uncorrected formation energy? number 1